Entry 1:
The following is a DFT calculation (PBE-GGA) of a relaxed Li2SnCSO7 crystal.

Calculated values
uncorrected formation energy = -1.60 eV/atom
calculated total energy = -6.257 eV per atom
N(E_F) = 0.000 states/eV per atom

Cell lengths 6.7487, 5.0222, 9.6759 Å; angles 87.15, 90.00, 90.00 degrees
With the nearest neighbours (Å) after each atom.
Fractional positions:
Li 0.5222 0.7375 0.8280  3 O 2.03-2.25
Li 0.9778 0.7375 0.8280  3 O 2.03-2.25
Li 0.4778 0.2625 0.1720  3 O 2.03-2.25
Li 0.0222 0.2625 0.1720  3 O 2.03-2.25
Sn 0.2500 0.2039 0.6207  4 O 2.31-2.39
Sn 0.7500 0.7961 0.3793  4 O 2.31-2.39
C 0.2500 0.2203 0.9053  3 O 1.27-1.33
C 0.7500 0.7797 0.0947  3 O 1.27-1.33
S 0.7500 0.2267 0.6508  4 O 1.48-1.50
S 0.2500 0.7733 0.3492  4 O 1.48-1.50
O 0.7500 0.7612 0.9643  1 C 1.27
O 0.2500 0.9906 0.8465  1 C 1.31
O 0.2500 0.4363 0.8203  1 C 1.33
O 0.9271 0.0608 0.6931  1 S 1.50
O 0.5729 0.0608 0.6931  1 S 1.50
O 0.2500 0.7250 0.5025  1 S 1.49
O 0.7500 0.4806 0.7212  1 S 1.48
O 0.2500 0.5194 0.2788  1 S 1.48
O 0.7500 0.2750 0.4975  1 S 1.49
O 0.4271 0.9392 0.3069  1 S 1.50
O 0.0729 0.9392 0.3069  1 S 1.50
O 0.7500 0.5637 0.1797  1 C 1.33
O 0.7500 0.0094 0.1535  1 C 1.31
O 0.2500 0.2388 0.0357  1 C 1.27

***

Entry 2:
The following is a DFT calculation (PBE-GGA) of a relaxed LiSiSbCO7 crystal.

Calculated values
uncorrected formation energy = -1.82 eV/atom
calculated total energy = -6.859 eV per atom
N(E_F) = 0.000 states/eV per atom

Cell lengths 6.4504, 5.3678, 9.6152 Å; angles 87.82, 90.00, 90.00 degrees
With the nearest neighbours (Å) after each atom.
Fractional positions:
Li 0.5670 0.7477 0.8657  3 O 1.90-1.98
Li 0.0670 0.2523 0.1343  3 O 1.90-1.98
Si 0.2292 0.2788 0.5650  4 O 1.63-1.65
Si 0.7292 0.7212 0.4350  4 O 1.63-1.65
Sb 0.7302 0.2097 0.6482  6 O 1.95-2.12
Sb 0.2302 0.7903 0.3518  6 O 1.95-2.12
C 0.7659 0.2684 0.9097  3 O 1.23-1.35
C 0.2659 0.7316 0.0903  3 O 1.23-1.35
O 0.3176 0.7020 0.9690  1 C 1.23
O 0.7390 0.0482 0.8507  1 C 1.34
O 0.7337 0.4560 0.8147  1 C 1.35
O 0.0318 0.2103 0.6649  1 Si 1.63
O 0.4274 0.2080 0.6652  1 Si 1.64
O 0.7249 0.8719 0.5802  1 Si 1.64
O 0.2313 0.5785 0.5210  1 Si 1.65
O 0.7313 0.4215 0.4790  1 Si 1.65
O 0.2249 0.1281 0.4198  1 Si 1.64
O 0.9274 0.7920 0.3348  1 Si 1.64
O 0.5318 0.7897 0.3351  1 Si 1.63
O 0.2337 0.5440 0.1853  1 C 1.35
O 0.2390 0.9518 0.1493  1 C 1.34
O 0.8176 0.2980 0.0310  1 C 1.23

***

Entry 3:
The following is a DFT calculation (PBE-GGA) of a relaxed Li3SiSbCO7 crystal.

Calculated values
uncorrected formation energy = -1.97 eV/atom
calculated total energy = -6.527 eV per atom
N(E_F) = 0.000 states/eV per atom

Cell lengths 6.8585, 5.0934, 9.1445 Å; angles 81.45, 90.00, 90.00 degrees
With the nearest neighbours (Å) after each atom.
Fractional positions:
Li 0.7500 0.7605 0.8708  2 O 1.87-1.92
Li 0.9486 0.1788 0.7122  3 O 1.99-2.09
Li 0.5514 0.1788 0.7122  3 O 1.99-2.09
Li 0.4486 0.8212 0.2878  3 O 1.99-2.09
Li 0.0514 0.8212 0.2878  3 O 1.99-2.09
Li 0.2500 0.2395 0.1292  2 O 1.87-1.92
Si 0.7500 0.7084 0.5864  4 O 1.64-1.66
Si 0.2500 0.2916 0.4136  4 O 1.64-1.66
Sb 0.2500 0.7312 0.6773  4 O 2.07-2.20
Sb 0.7500 0.2688 0.3227  4 O 2.07-2.20
C 0.2500 0.7760 0.9885  3 O 1.27-1.33
C 0.7500 0.2240 0.0115  3 O 1.27-1.33
O 0.7500 0.1327 0.8868  1 C 1.29
O 0.2500 0.9507 0.8646  1 C 1.33
O 0.2500 0.5298 0.9779  1 C 1.27
O 0.9338 0.7982 0.6851  1 Si 1.65
O 0.5662 0.7982 0.6851  1 Si 1.65
O 0.7500 0.3886 0.5788  1 Si 1.64
O 0.2500 0.1286 0.5849  1 Si 1.66
O 0.7500 0.8714 0.4151  1 Si 1.66
O 0.2500 0.6114 0.4212  1 Si 1.64
O 0.4338 0.2018 0.3149  1 Si 1.65
O 0.0662 0.2018 0.3149  1 Si 1.65
O 0.7500 0.4702 0.0221  1 C 1.27
O 0.7500 0.0493 0.1354  1 C 1.33
O 0.2500 0.8673 0.1132  1 C 1.29

***

Entry 4:
The following is a DFT calculation (PBE-GGA) of a relaxed LiScC2O6 crystal.

Calculated values
uncorrected formation energy = -2.08 eV/atom
calculated total energy = -7.724 eV per atom
N(E_F) = 0.000 states/eV per atom

Cell lengths 4.7820, 4.7820, 5.8791 Å; angles 66.00, 66.00, 60.00 degrees
With the nearest neighbours (Å) after each atom.
Fractional positions:
Li 0.0000 0.0000 0.0000  6 O 2.24
Sc 0.5000 0.5000 0.5000  6 O 2.13
C 0.7526 0.7526 0.7421  3 O 1.30
C 0.2474 0.2474 0.2579  3 O 1.30
O 0.0296 0.4876 0.7419  1 C 1.30
O 0.7409 0.0296 0.7419  1 C 1.30
O 0.5124 0.2591 0.2581  1 C 1.30
O 0.9704 0.5124 0.2581  1 C 1.30
O 0.2591 0.9704 0.2581  1 C 1.30
O 0.4876 0.7409 0.7419  1 C 1.30

***

Entry 5:
The following is a DFT calculation (PBE-GGA) of a relaxed Li3SmC4O12 crystal.

Calculated values
uncorrected formation energy = -1.74 eV/atom
calculated total energy = -7.078 eV per atom
N(E_F) = 0.447 states/eV per atom

Cell lengths 6.1863, 6.1863, 6.1863 Å; angles 102.07, 102.07, 102.07 degrees
With the nearest neighbours (Å) after each atom.
Fractional positions:
Li 0.5494 0.4506 0.0000  6 O 2.14-2.16
Li 0.4506 0.0000 0.5494  6 O 2.14-2.16
Li 0.0000 0.5494 0.4506  6 O 2.14-2.16
Sm 0.0000 0.0000 0.0000  6 O 2.41
C 0.9535 0.0465 0.5000  3 O 1.28-1.30
C 0.0465 0.5000 0.9535  3 O 1.28-1.30
C 0.5000 0.9535 0.0465  3 O 1.28-1.30
C 0.5000 0.5000 0.5000  3 O 1.28
O 0.5000 0.3670 0.6330  1 C 1.28
O 0.9133 0.5000 0.0867  1 C 1.28
O 0.0867 0.9133 0.5000  1 C 1.28
O 0.5000 0.0867 0.9133  1 C 1.28
O 0.3679 0.9608 0.1838  1 C 1.30
O 0.1838 0.3679 0.9608  1 C 1.30
O 0.9608 0.1838 0.3679  1 C 1.30
O 0.6321 0.8162 0.0392  1 C 1.30
O 0.0392 0.6321 0.8162  1 C 1.30
O 0.8162 0.0392 0.6321  1 C 1.30
O 0.6330 0.5000 0.3670  1 C 1.28
O 0.3670 0.6330 0.5000  1 C 1.28

***

Entry 6:
The following is a DFT calculation (PBE-GGA) of a relaxed LiSmC2O6 crystal.

Calculated values
uncorrected formation energy = -2.09 eV/atom
calculated total energy = -7.568 eV per atom
N(E_F) = 0.000 states/eV per atom

Cell lengths 6.1771, 6.1771, 7.2310 Å; angles 96.32, 96.32, 110.05 degrees
With the nearest neighbours (Å) after each atom.
Fractional positions:
Li 0.0841 0.9159 0.2500  4 O 2.11-2.25
Li 0.9159 0.0841 0.7500  4 O 2.11-2.25
Sm 0.5791 0.4209 0.2500  8 O 2.32-2.58
Sm 0.4209 0.5791 0.7500  8 O 2.32-2.58
C 0.4320 0.1289 0.7802  3 O 1.29-1.32
C 0.8711 0.5680 0.7198  3 O 1.29-1.32
C 0.5680 0.8711 0.2198  3 O 1.29-1.32
C 0.1289 0.4320 0.2802  3 O 1.29-1.32
O 0.9778 0.5296 0.2488  1 C 1.29
O 0.4704 0.0222 0.2512  1 C 1.29
O 0.0222 0.4704 0.7512  1 C 1.29
O 0.5296 0.9778 0.7488  1 C 1.29
O 0.1289 0.2478 0.1773  1 C 1.29
O 0.7522 0.8711 0.3227  1 C 1.29
O 0.8711 0.7522 0.8227  1 C 1.29
O 0.2478 0.1289 0.6773  1 C 1.29
O 0.3048 0.5325 0.4194  1 C 1.32
O 0.4675 0.6952 0.0806  1 C 1.32
O 0.6952 0.4675 0.5806  1 C 1.32
O 0.5325 0.3048 0.9194  1 C 1.32

***

Entry 7:
The following is a DFT calculation (PBE-GGA) of a relaxed SrLiC2O6 crystal.

Calculated values
uncorrected formation energy = -1.82 eV/atom
calculated total energy = -7.000 eV per atom
N(E_F) = 0.553 states/eV per atom

Cell lengths 5.0330, 5.0330, 6.3619 Å; angles 66.70, 66.70, 60.00 degrees
With the nearest neighbours (Å) after each atom.
Fractional positions:
Sr 0.0000 0.0000 0.0000  6 O 2.57
Li 0.5000 0.5000 0.5000  6 O 2.20
C 0.7572 0.7572 0.7284  3 O 1.29
C 0.2428 0.2428 0.2716  3 O 1.29
O 0.0327 0.5266 0.7318  1 C 1.29
O 0.7089 0.0327 0.7318  1 C 1.29
O 0.4734 0.2911 0.2682  1 C 1.29
O 0.9673 0.4734 0.2682  1 C 1.29
O 0.2911 0.9673 0.2682  1 C 1.29
O 0.5266 0.7089 0.7318  1 C 1.29

***

Entry 8:
The following is a DFT calculation (PBE-GGA) of a relaxed Sr2LiC2O6 crystal.

Calculated values
uncorrected formation energy = -1.97 eV/atom
calculated total energy = -6.827 eV per atom
N(E_F) = 0.187 states/eV per atom

Cell lengths 5.0934, 5.3394, 6.2603 Å; angles 115.24, 90.00, 118.49 degrees
With the nearest neighbours (Å) after each atom.
Fractional positions:
Sr 0.7088 0.4176 0.2032  9 O 2.64-2.74, 1 C 2.91
Sr 0.2912 0.5824 0.7968  9 O 2.64-2.74, 1 C 2.91
Li 0.5000 0.0000 0.5000  4 O 2.14
C 0.9496 0.8992 0.7201  3 O 1.33-1.34
C 0.0504 0.1008 0.2799  3 O 1.33-1.34
O 0.7948 0.5896 0.6723  1 C 1.33
O 0.1949 0.9369 0.2217  1 C 1.34
O 0.2580 0.0631 0.7783  1 C 1.34
O 0.8051 0.0631 0.7783  1 C 1.34
O 0.7420 0.9369 0.2217  1 C 1.34
O 0.2052 0.4104 0.3277  1 C 1.33